Computed, not measured: a geometry-optimized ScInSe2Br structure at the PBE-GGA level of DFT.

Cell: 5.188 5.188 5.484 Å, 90.00 90.00 90.00°
Element x y z (fractional)
Sc 0.000 0.000 0.000
Se 0.000 0.500 0.000
Se 0.500 0.000 0.000
Br 0.000 0.000 0.500
In 0.500 0.500 0.500

SG: P4/mmm, No. 123
Formation energy without anion corrections (eV/atom): -0.869
V (Å³/atom): 29.5
Total energy (eV per atom): -4.411
Offset from the most stable computed form (meV/atom): 0